Version w
Below is a geometry-optimized PdPb5 structure, with properties calculated at the GGA-PBE level.

Structure (POSCAR):
```
PdPb5
1.0
-3.5906 3.5906 6.7202
3.5906 -3.5906 6.7202
3.5906 3.5906 -6.7202
Pd Pb
2 10
Direct
0.2500 0.2500 0.0000
0.7500 0.7500 0.0000
0.0000 0.0000 0.0000
0.0134 0.5134 0.8210
0.1924 0.0134 0.5000
0.3076 0.8076 0.8210
0.4866 0.3076 0.5000
0.5000 0.5000 0.0000
0.5134 0.6924 0.5000
0.6924 0.1924 0.1790
0.8076 0.9866 0.5000
0.9866 0.4866 0.1790
```

Output
volume = 173 Å³/f.u.
mass density = 10.948 g cm⁻³

Version x
Below is a geometry-optimized PdPb5 structure, with properties calculated at the GGA-PBE level.

Structure (POSCAR):
```
PdPb5
1.0
2.3441 -7.2116 0.0000
2.3441 7.2116 0.0000
0.0000 0.0000 4.9491
Pd Pb
1 5
Direct
0.0000 0.0000 0.0000
0.1585 0.8415 0.5000
0.3498 0.6502 0.0000
0.5000 0.5000 0.5000
0.6502 0.3498 0.0000
0.8415 0.1585 0.5000
```

Output
volume = 167 Å³/f.u.
mass density = 11.338 g cm⁻³

Pick the least stable structure from those above. Pick: version x